No. 1
Computed, not measured: crystalline Y3Ga4Pt4 at its relaxed geometry at the PBE level of DFT.

Output
The formation energy is -1.04 eV per atom. Its density is 10.4 g/cm³.

Cell lengths 4.1285, 7.1885, 8.2788 Å; angles 115.73, 104.44, 90.00 degrees
Last column: nearest neighbours and their distance in Å.
Element x y z (fractional)
Y  0.1239  0.1239  0.2478  6 Ga 3.06-3.25, 6 Pt 3.08-3.09
Y  0.8761  0.8761  0.7522  6 Ga 3.06-3.25, 6 Pt 3.08-3.09
Y  0.0000  0.5000  0.0000  6 Pt 2.99-3.09
Ga  0.3271  0.1267  0.6542  4 Pt 2.58-2.68, 1 Ga 2.88
Ga  0.6729  0.4725  0.3458  4 Pt 2.58-2.68, 1 Ga 2.88
Ga  0.6729  0.8733  0.3458  4 Pt 2.58-2.68, 1 Ga 2.88
Ga  0.3271  0.5275  0.6542  4 Pt 2.58-2.68, 1 Ga 2.88
Pt  0.2154  0.7154  0.4308  6 Ga 2.59-2.68
Pt  0.7846  0.2846  0.5692  6 Ga 2.59-2.68
Pt  0.5000  0.8001  0.0000  2 Ga 2.58, 1 Pt 2.87
Pt  0.5000  0.1999  0.0000  2 Ga 2.58, 1 Pt 2.87

No. 2
Computed, not measured: crystalline YGa3Pt3 at its relaxed geometry at the PBE level of DFT.

Output
The formation energy is -0.81 eV per atom. For the offset from the most stable computed form, the calculation gives 0 meV per atom. Its density is 11.6 g/cm³.

Cell lengths 6.8736, 6.8736, 7.3283 Å; angles 62.03, 62.03, 60.00 degrees
Last column: nearest neighbours and their distance in Å.
Element x y z (fractional)
Y  0.3395  0.3395  0.9814  6 Pt 2.89-3.06, 6 Ga 3.08-3.11
Y  0.6605  0.6605  0.0186  6 Pt 2.89-3.06, 6 Ga 3.08-3.11
Ga  0.5394  0.7318  0.6318  4 Pt 2.56-2.63, 2 Ga 2.76
Ga  0.7318  0.0970  0.6318  4 Pt 2.56-2.63, 2 Ga 2.76
Ga  0.0970  0.5394  0.6318  4 Pt 2.56-2.63, 2 Ga 2.76
Ga  0.9030  0.4606  0.3682  4 Pt 2.56-2.63, 2 Ga 2.76
Ga  0.2682  0.9030  0.3682  4 Pt 2.56-2.63, 2 Ga 2.76
Ga  0.4606  0.2682  0.3682  4 Pt 2.56-2.63, 2 Ga 2.76
Pt  0.1744  0.6909  0.2158  4 Ga 2.56-2.63
Pt  0.9189  0.1744  0.2158  4 Ga 2.56-2.63
Pt  0.6909  0.9189  0.2158  4 Ga 2.56-2.63
Pt  0.3091  0.0811  0.7842  4 Ga 2.56-2.63
Pt  0.0811  0.8256  0.7842  4 Ga 2.56-2.63
Pt  0.8256  0.3091  0.7842  4 Ga 2.56-2.63

No. 3
Computed, not measured: crystalline Y2Ga5Pt3 at its relaxed geometry at the PBE level of DFT.

Output
The formation energy is -0.89 eV per atom. For the offset from the most stable computed form, the calculation gives 14 meV per atom. Its density is 9.9 g/cm³.

Cell lengths 5.7440, 8.6400, 8.6400 Å; angles 73.12, 70.59, 70.59 degrees
Last column: nearest neighbours and their distance in Å.
Element x y z (fractional)
Y  0.1403  0.5842  0.1352  10 Ga 3.13-3.37, 4 Pt 3.14-3.36
Y  0.6403  0.1352  0.5842  10 Ga 3.13-3.37, 4 Pt 3.14-3.36
Y  0.8597  0.4158  0.8648  10 Ga 3.13-3.37, 4 Pt 3.14-3.36
Y  0.3597  0.8648  0.4158  10 Ga 3.13-3.37, 4 Pt 3.14-3.36
Ga  0.4026  0.2644  0.9304  3 Pt 2.45-2.56, 2 Ga 2.66
Ga  0.9026  0.9304  0.2644  3 Pt 2.45-2.56, 2 Ga 2.66
Ga  0.5974  0.7356  0.0696  3 Pt 2.45-2.56, 2 Ga 2.66
Ga  0.0974  0.0696  0.7356  3 Pt 2.45-2.56, 2 Ga 2.66
Ga  0.4608  0.7892  0.7892  3 Pt 2.55-2.66, 2 Ga 2.66
Ga  0.5392  0.2108  0.2108  3 Pt 2.55-2.66, 2 Ga 2.66
Ga  0.7500  0.5000  0.5000  4 Pt 2.55
Ga  0.2500  0.5000  0.5000  4 Pt 2.55
Ga  0.0392  0.2108  0.2108  3 Pt 2.55-2.66, 2 Ga 2.66
Ga  0.9608  0.7892  0.7892  3 Pt 2.55-2.66, 2 Ga 2.66
Pt  0.3551  0.5431  0.7467  5 Ga 2.45-2.55
Pt  0.8551  0.7467  0.5431  5 Ga 2.45-2.55
Pt  0.6449  0.4569  0.2533  5 Ga 2.45-2.55
Pt  0.1449  0.2533  0.4569  5 Ga 2.45-2.55
Pt  0.2500  0.0000  0.0000  6 Ga 2.56-2.66
Pt  0.7500  0.0000  0.0000  6 Ga 2.56-2.66

No. 4
Computed, not measured: crystalline Y3GaPt at its relaxed geometry at the PBE level of DFT.

Output
The formation energy is -0.33 eV per atom. For the offset from the most stable computed form, the calculation gives 0 meV per atom. Its density is 5.6 g/cm³.

Cell lengths 5.4002, 5.4002, 5.4002 Å; angles 90.00, 90.00, 90.00 degrees
Last column: nearest neighbours and their distance in Å.
Element x y z (fractional)
Y  0.0000  0.5000  0.0000  2 Pt 2.70
Y  0.0000  0.0000  0.5000  2 Pt 2.70
Y  0.5000  0.0000  0.0000  2 Pt 2.70
Ga  0.5000  0.5000  0.5000  12 Y 3.82
Pt  0.0000  0.0000  0.0000  6 Y 2.70

No. 5
Computed, not measured: crystalline YGa2Pt at its relaxed geometry at the PBE level of DFT.

Output
The formation energy is -0.64 eV per atom. Its density is 9.6 g/cm³.

Cell lengths 4.6924, 4.6924, 4.6924 Å; angles 60.00, 60.00, 60.00 degrees
Last column: nearest neighbours and their distance in Å.
Element x y z (fractional)
Y  0.0000  0.0000  0.0000  8 Ga 2.87
Ga  0.2500  0.2500  0.2500  4 Pt 2.87, 4 Y 2.87
Ga  0.7500  0.7500  0.7500  4 Pt 2.87, 4 Y 2.87
Pt  0.5000  0.5000  0.5000  8 Ga 2.87

No. 6
Computed, not measured: crystalline Y2Ga3Pt5 at its relaxed geometry at the PBE level of DFT.

Output
The formation energy is -0.96 eV per atom. For the offset from the most stable computed form, the calculation gives 0 meV per atom. Its density is 12.7 g/cm³.

Cell lengths 4.1712, 6.8337, 12.6829 Å; angles 90.00, 99.46, 90.00 degrees
Last column: nearest neighbours and their distance in Å.
Element x y z (fractional)
Y  0.4740  0.7246  0.9480  5 Ga 2.94-3.01, 8 Pt 3.05-3.24
Y  0.1761  0.7689  0.3521  8 Pt 2.94-3.19, 3 Ga 3.24-3.26
Y  0.8239  0.2689  0.6479  8 Pt 2.94-3.19, 3 Ga 3.24-3.26
Y  0.5260  0.2246  0.0520  5 Ga 2.94-3.01, 8 Pt 3.05-3.24
Ga  0.7839  0.8153  0.5678  6 Pt 2.51-2.69
Ga  0.6250  0.4576  0.2499  6 Pt 2.56-2.86
Ga  0.0423  0.9136  0.0845  5 Pt 2.53-2.62
Ga  0.2161  0.3153  0.4322  6 Pt 2.51-2.69
Ga  0.9577  0.4136  0.9155  5 Pt 2.53-2.62
Ga  0.3750  0.9576  0.7501  6 Pt 2.56-2.86
Pt  0.4024  0.3634  0.8047  2 Ga 2.53
Pt  0.3045  0.5796  0.6089  3 Ga 2.69-2.85, 5 Pt 2.86-2.95
Pt  0.6955  0.0796  0.3911  3 Ga 2.69-2.85, 5 Pt 2.86-2.95
Pt  0.1169  0.1832  0.2338  4 Ga 2.62-2.81, 1 Pt 2.89
Pt  0.2741  0.0163  0.5482  4 Ga 2.51-2.56
Pt  0.9441  0.0423  0.8883  4 Ga 2.56-2.77
Pt  0.7259  0.5163  0.4518  4 Ga 2.51-2.56
Pt  0.8831  0.6832  0.7662  4 Ga 2.62-2.81, 1 Pt 2.89
Pt  0.0559  0.5423  0.1117  4 Ga 2.56-2.77
Pt  0.5976  0.8634  0.1953  2 Ga 2.53

No. 7
Computed, not measured: crystalline YGa3Pt2 at its relaxed geometry at the PBE level of DFT.

Output
The formation energy is -0.83 eV per atom. Its density is 10.3 g/cm³.

Cell lengths 4.0920, 8.6456, 9.9976 Å; angles 104.41, 90.00, 103.69 degrees
Last column: nearest neighbours and their distance in Å.
Element x y z (fractional)
Y  0.1539  0.3077  0.7054  7 Ga 3.14-3.49, 6 Pt 3.23-3.30
Y  0.8461  0.6923  0.2946  7 Ga 3.14-3.49, 6 Pt 3.23-3.30
Y  0.0000  0.0000  0.0000  6 Pt 3.09-3.34, 4 Ga 3.24
Ga  0.0451  0.0901  0.3609  4 Pt 2.55-2.63, 2 Ga 2.69
Ga  0.9549  0.9099  0.6391  4 Pt 2.55-2.63, 2 Ga 2.69
Ga  0.2204  0.4408  0.3795  4 Pt 2.48-2.63
Ga  0.7796  0.5592  0.6205  4 Pt 2.48-2.63
Ga  0.6313  0.2625  0.1900  4 Pt 2.57-2.61, 1 Ga 2.59
Ga  0.3687  0.7375  0.8101  4 Pt 2.57-2.61, 1 Ga 2.59
Ga  0.5000  0.0000  0.5000  4 Pt 2.56-2.72, 4 Ga 2.69
Ga  0.3437  0.6875  0.0555  4 Pt 2.49-2.64, 1 Ga 2.59
Ga  0.6563  0.3125  0.9445  4 Pt 2.49-2.64, 1 Ga 2.59
Pt  0.2048  0.4096  0.1131  6 Ga 2.54-2.64
Pt  0.7952  0.5904  0.8869  6 Ga 2.54-2.64
Pt  0.4822  0.9645  0.2219  5 Ga 2.49-2.72
Pt  0.5178  0.0355  0.7781  5 Ga 2.49-2.72
Pt  0.3576  0.7152  0.5486  7 Ga 2.48-2.63
Pt  0.6424  0.2848  0.4514  7 Ga 2.48-2.63

No. 8
Computed, not measured: crystalline Y2Ga12Pt at its relaxed geometry at the PBE level of DFT.

Output
The formation energy is -0.41 eV per atom. Its density is 6.9 g/cm³.

Cell lengths 6.1354, 6.1354, 15.3598 Å; angles 90.00, 90.00, 90.00 degrees
Last column: nearest neighbours and their distance in Å.
Element x y z (fractional)
Y  0.5000  0.0000  0.2421  14 Ga 3.17-3.47
Y  0.0000  0.5000  0.2421  14 Ga 3.17-3.47
Y  0.0000  0.5000  0.7579  14 Ga 3.17-3.47
Y  0.5000  0.0000  0.7579  14 Ga 3.17-3.47
Ga  0.5000  0.5000  0.8105  5 Ga 2.44-2.64
Ga  0.0000  0.0000  0.8105  5 Ga 2.44-2.64
Ga  0.7502  0.7498  0.9090  2 Pt 2.58, 3 Ga 2.64-2.80
Ga  0.2502  0.7502  0.9090  2 Pt 2.58, 3 Ga 2.64-2.80
Ga  0.0000  0.0000  0.3481  5 Ga 2.44-2.62
Ga  0.2498  0.7498  0.0910  2 Pt 2.58, 3 Ga 2.64-2.80
Ga  0.8349  0.3349  0.5688  4 Ga 2.58-2.86
Ga  0.5000  0.5000  0.3481  5 Ga 2.44-2.62
Ga  0.2498  0.2502  0.9090  2 Pt 2.58, 3 Ga 2.64-2.80
Ga  0.7498  0.7502  0.0910  2 Pt 2.58, 3 Ga 2.64-2.80
Ga  0.3349  0.1651  0.5688  4 Ga 2.58-2.86
Ga  0.6651  0.1651  0.4312  4 Ga 2.58-2.86
Ga  0.0000  0.0000  0.6519  5 Ga 2.44-2.62
Ga  0.1651  0.3349  0.4312  4 Ga 2.58-2.86
Ga  0.2502  0.2498  0.0910  2 Pt 2.58, 3 Ga 2.64-2.80
Ga  0.8349  0.6651  0.4312  4 Ga 2.58-2.86
Ga  0.6651  0.8349  0.5688  4 Ga 2.58-2.86
Ga  0.0000  0.0000  0.1895  5 Ga 2.44-2.64
Ga  0.1651  0.6651  0.5688  4 Ga 2.58-2.86
Ga  0.5000  0.5000  0.6519  5 Ga 2.44-2.62
Ga  0.7498  0.2498  0.9090  2 Pt 2.58, 3 Ga 2.64-2.80
Ga  0.5000  0.5000  0.1895  5 Ga 2.44-2.64
Ga  0.3349  0.8349  0.4312  4 Ga 2.58-2.86
Ga  0.7502  0.2502  0.0910  2 Pt 2.58, 3 Ga 2.64-2.80
Pt  0.5000  0.0000  0.0000  8 Ga 2.58
Pt  0.0000  0.5000  0.0000  8 Ga 2.58

No. 9
Computed, not measured: crystalline Y3Ga7Pt4 at its relaxed geometry at the PBE level of DFT.

Output
The formation energy is -0.90 eV per atom. Its density is 9.8 g/cm³.

Cell lengths 4.2958, 8.2342, 8.3282 Å; angles 68.88, 75.05, 74.88 degrees
Last column: nearest neighbours and their distance in Å.
Element x y z (fractional)
Y  0.3078  0.1873  0.1971  10 Ga 3.02-3.29, 4 Pt 3.11-3.14
Y  0.6922  0.8127  0.8029  10 Ga 3.02-3.29, 4 Pt 3.11-3.14
Y  0.0000  0.5000  0.5000  6 Pt 3.00-3.19, 2 Ga 3.27
Ga  0.3203  0.8245  0.5349  4 Pt 2.55-2.66, 1 Ga 2.70
Ga  0.5006  0.2097  0.7891  3 Pt 2.54-2.68, 1 Ga 2.70
Ga  0.8450  0.3819  0.9282  3 Pt 2.55-2.63
Ga  0.6797  0.1755  0.4651  4 Pt 2.55-2.66, 1 Ga 2.70
Ga  0.1550  0.6181  0.0718  3 Pt 2.55-2.63
Ga  0.0000  0.0000  0.0000  2 Pt 2.68, 6 Ga 2.91
Ga  0.4994  0.7903  0.2109  3 Pt 2.54-2.68, 1 Ga 2.70
Pt  0.6567  0.4690  0.2177  5 Ga 2.54-2.63
Pt  0.3433  0.5310  0.7823  5 Ga 2.54-2.63
Pt  0.8767  0.8963  0.3503  6 Ga 2.57-2.68
Pt  0.1233  0.1037  0.6497  6 Ga 2.57-2.68

No. 10
Computed, not measured: crystalline YGa3Pt at its relaxed geometry at the PBE level of DFT.

Output
The formation energy is -0.26 eV per atom. For the offset from the most stable computed form, the calculation gives 491 meV per atom. Its density is 7.3 g/cm³.

Cell lengths 4.8297, 4.8297, 4.8297 Å; angles 90.00, 90.00, 90.00 degrees
Last column: nearest neighbours and their distance in Å.
Element x y z (fractional)
Y  0.5000  0.5000  0.5000  12 Ga 3.42
Ga  0.0000  0.5000  0.0000  2 Pt 2.41
Ga  0.0000  0.0000  0.5000  2 Pt 2.41
Ga  0.5000  0.0000  0.0000  2 Pt 2.41
Pt  0.0000  0.0000  0.0000  6 Ga 2.41

No. 11
Computed, not measured: crystalline YGa2Pt at its relaxed geometry at the PBE level of DFT.

Output
The formation energy is -0.51 eV per atom. Its density is 7.9 g/cm³.

Cell lengths 4.4273, 4.4273, 9.5686 Å; angles 76.62, 76.62, 90.00 degrees
Last column: nearest neighbours and their distance in Å.
Element x y z (fractional)
Y  0.5000  0.5000  0.0000  4 Ga 3.02, 4 Pt 3.13
Y  0.2500  0.7500  0.5000  4 Ga 3.02, 4 Pt 3.13
Ga  0.7503  0.1250  0.2500  2 Ga 2.47, 2 Pt 2.58
Ga  0.9997  0.6250  0.2500  2 Ga 2.47, 2 Pt 2.58
Ga  0.3750  0.2497  0.7500  2 Ga 2.47, 2 Pt 2.58
Ga  0.8750  0.0003  0.7500  2 Ga 2.47, 2 Pt 2.58
Pt  0.0000  0.0000  0.0000  4 Ga 2.58
Pt  0.7500  0.2500  0.5000  4 Ga 2.58

No. 12
Computed, not measured: crystalline YGaPt4 at its relaxed geometry at the PBE level of DFT.

Output
The formation energy is -0.84 eV per atom. For the offset from the most stable computed form, the calculation gives 0 meV per atom. Its density is 14.8 g/cm³.

Cell lengths 3.9037, 6.7958, 8.2018 Å; angles 90.00, 103.77, 90.00 degrees
Last column: nearest neighbours and their distance in Å.
Element x y z (fractional)
Y  0.1011  0.2500  0.2022  9 Pt 2.82-3.05
Y  0.8989  0.7500  0.7978  9 Pt 2.82-3.05
Ga  0.2369  0.7500  0.4737  7 Pt 2.45-2.59
Ga  0.7631  0.2500  0.5263  7 Pt 2.45-2.59
Pt  0.5000  0.5000  0.0000  6 Pt 2.80-2.86, 4 Y 3.05
Pt  0.5000  0.0000  0.0000  6 Pt 2.80-2.86, 4 Y 3.05
Pt  0.6750  0.9554  0.3500  3 Ga 2.45-2.59
Pt  0.3250  0.0446  0.6500  3 Ga 2.45-2.59
Pt  0.3250  0.4554  0.6500  3 Ga 2.45-2.59
Pt  0.6750  0.5446  0.3500  3 Ga 2.45-2.59
Pt  0.0760  0.7500  0.1520  1 Ga 2.56, 1 Y 2.82, 4 Pt 2.86
Pt  0.9240  0.2500  0.8480  1 Ga 2.56, 1 Y 2.82, 4 Pt 2.86

The calculation returns the following M_tot values, one per record and in order: 0.00, 0.00, 0.00, 0.00, 0.00, 0.00, 0.00, 0.00, 0.00, 0.00, 0.00, 0.00 μB/f.u..